A plane-wave DFT calculation with PBE was carried out for crystalline SrZn2In at its relaxed geometry.

The structure in CIF format:
```
data_SrZn2In
_chemical_formula_sum 'Sr2 Zn4 In2'
_cell_length_a 7.773
_cell_length_b 4.482
_cell_length_c 6.452
_cell_angle_alpha 90.00
_cell_angle_beta 113.58
_cell_angle_gamma 90.00
_space_group_name_H-M_alt 'C 1 m 1'
_space_group_IT_number 8
_space_group_name_Hall 'C -2y'
loop_
_atom_site_label
_atom_site_type_symbol
_atom_site_fract_x
_atom_site_fract_y
_atom_site_fract_z
Sr1 Sr 0.000 0.000 0.000
Zn1 Zn 0.040 0.500 0.620
Zn2 Zn 0.204 0.000 0.614
In1 In 0.296 0.500 0.387
```

Results
ΔE_f	-233	meV/atom
DOS(E_F)	3.8	states/eV/cell
total energy	-1.98	eV/atom
crystal system	monoclinic